A relaxed structure of Ca8HPb2, computed with GGA-PBE.

Output
DFT total energy in eV per atom: -2.7032

Cell lengths 18.6847, 5.0584, 7.6608 Å; angles 90.00, 90.06, 90.00 degrees
Space group C2/m (No. 12)
Asymmetric unit:
Ca (0.9997, 0.0000, 0.2412) [4 per cell]
Ca (0.1101, 0.5000, 0.5158) [4 per cell]
Ca (0.1223, 0.5000, 0.0055) [4 per cell]
Ca (0.2129, 0.0000, 0.2763) [4 per cell]
H (0.0000, 0.5000, 0.0000) [2 per cell]
Pb (0.1820, 0.0000, 0.7573) [4 per cell]